Below is CrSb2CI after structural relaxation, with properties calculated at the PBE-GGA level. Values from VASP.

Structure (Quantum ESPRESSO input):
```
&SYSTEM
  ibrav = 0, nat = 5, ntyp = 4
/
ATOMIC_SPECIES
Cr 52.00 Cr.upf
Sb 121.76 Sb.upf
C 12.01 C.upf
I 126.90 I.upf
CELL_PARAMETERS angstrom
5.073 0.000 0.000
0.000 5.073 0.000
0.000 0.000 5.395
ATOMIC_POSITIONS crystal
Cr 0.000 0.000 0.000
Sb 0.000 0.500 0.000
Sb 0.500 0.000 0.000
C 0.500 0.500 0.500
I 0.000 0.000 0.500
```

Values from the calculation:
- Energy relative to the elements, uncorrected: 1.667 eV per atom
- Total magnetization: 3.82 μB/f.u.